VASP calculation (PBE) on an optimized crystal structure of CaAsAu3.

Values from the calculation:
DOS at the Fermi energy: 2.331 states/eV/f.u.
formation energy: -0.168 eV per atom
symmetry: Pm-3m, No. 221
energy above the most stable polymorph in this dataset: 0 meV/atom
final energy: -0.25463 Ry/atom

Unit cell a=4.986 b=4.986 c=4.986 alpha=90.00 beta=90.00 gamma=90.00
Atoms (fractional coordinates):
Ca: 0.000 0.000 0.000
As: 0.500 0.500 0.500
Au: 0.000 0.500 0.500
Au: 0.500 0.000 0.500
Au: 0.500 0.500 0.000